P:
The following is a GGA+U calculation of crystalline VPPbO2 at its relaxed geometry, from Alexandria via LeMat-Bulk.

Geometry as POSCAR:
```
VPPbO2
1.0
4.138 0.000 0.000
0.000 4.138 0.000
0.000 0.000 5.591
V P Pb O
1 1 1 2
direct
0.000 0.000 0.000
0.500 0.500 0.000
0.500 0.500 0.500
0.000 0.500 0.500
0.500 0.000 0.500
```

Results
Crystal system: tetragonal
Symmetry: No. 123
N(E_F) in states/eV/atom: 0.7818

=====

Q:
The following is a GGA+U calculation of crystalline VPPbO2 at its relaxed geometry, from Alexandria via LeMat-Bulk.

Geometry as POSCAR:
```
VPPbO2
1.0
3.857 0.000 0.000
0.000 3.857 0.000
0.000 0.000 5.139
V P Pb O
1 1 1 2
direct
0.000 0.000 0.000
0.000 0.000 0.500
0.500 0.500 0.500
0.000 0.500 0.000
0.500 0.000 0.000
```

Results
Crystal system: tetragonal
Symmetry: No. 123
N(E_F) in states/eV/atom: 0.1786

=====

Q ends up most stable, edging out the next structure by 1111 meV/atom.